1.
# LiOsW2 (PBE-GGA, optimized geometry)
# E_form: 0.324 eV per atom
data_LiOsW2
_chemical_formula_sum 'Li1 Os1 W2'
_cell_length_a 2.6996
_cell_length_b 2.6996
_cell_length_c 9.1087
_cell_angle_alpha 90.00
_cell_angle_beta 90.00
_cell_angle_gamma 110.76
_symmetry_space_group_name_H-M 'P 1'
_symmetry_Int_Tables_number 1
_symmetry_space_group_name_Hall 'P 1'
loop_
_atom_site_label
_atom_site_type_symbol
_atom_site_fract_x
_atom_site_fract_y
_atom_site_fract_z
W1 W 0.0000 0.0000 0.9936
W2 W 0.5000 0.5000 0.2430
Li1 Li 0.0000 0.0000 0.5100
Os1 Os 0.5000 0.5000 0.7533

***

2.
# LiOsW2 (PBE-GGA, optimized geometry)
# E_form: 0.520 eV per atom
data_LiOsW2
_chemical_formula_sum 'Li1 Os1 W2'
_cell_length_a 3.0806
_cell_length_b 3.0806
_cell_length_c 6.0106
_cell_angle_alpha 90.00
_cell_angle_beta 90.00
_cell_angle_gamma 90.00
_symmetry_space_group_name_H-M 'P 1'
_symmetry_Int_Tables_number 1
_symmetry_space_group_name_Hall 'P 1'
loop_
_atom_site_label
_atom_site_type_symbol
_atom_site_fract_x
_atom_site_fract_y
_atom_site_fract_z
W1 W 0.0000 0.0000 0.4741
W2 W 0.0000 0.0000 0.0259
Os1 Os 0.5000 0.5000 0.7500
Li1 Li 0.5000 0.5000 0.2500

***

3.
# LiOsW3 (PBE-GGA, optimized geometry)
# E_form: 1.893 eV per atom
# polymorph energy (0 for the lowest one): 490 meV per atom
data_LiOsW3
_chemical_formula_sum 'Li1 Os1 W3'
_cell_length_a 4.7905
_cell_length_b 4.7905
_cell_length_c 4.7905
_cell_angle_alpha 90.00
_cell_angle_beta 90.00
_cell_angle_gamma 90.00
_symmetry_space_group_name_H-M 'P 1'
_symmetry_Int_Tables_number 1
_symmetry_space_group_name_Hall 'P 1'
loop_
_atom_site_label
_atom_site_type_symbol
_atom_site_fract_x
_atom_site_fract_y
_atom_site_fract_z
Li1 Li 0.5000 0.5000 0.5000
W1 W 0.0000 0.0000 0.5000
W2 W 0.5000 0.0000 0.0000
W3 W 0.0000 0.5000 0.0000
Os1 Os 0.0000 0.0000 0.0000

***

4.
# LiOs2W (PBE-GGA, optimized geometry)
# E_form: 0.851 eV per atom
data_LiOs2W
_chemical_formula_sum 'Li1 Os2 W1'
_cell_length_a 6.1822
_cell_length_b 6.1822
_cell_length_c 6.1822
_cell_angle_alpha 49.86
_cell_angle_beta 155.38
_cell_angle_gamma 137.36
_symmetry_space_group_name_H-M 'P 1'
_symmetry_Int_Tables_number 1
_symmetry_space_group_name_Hall 'P 1'
loop_
_atom_site_label
_atom_site_type_symbol
_atom_site_fract_x
_atom_site_fract_y
_atom_site_fract_z
Li1 Li 0.0000 0.0000 0.0000
W1 W 0.0000 0.5000 0.5000
Os1 Os 0.0000 0.7187 0.7187
Os2 Os 0.0000 0.2813 0.2813

***

5.
# LiOsW2 (PBE-GGA, optimized geometry)
# E_form: 0.314 eV per atom
data_LiOsW2
_chemical_formula_sum 'Li1 Os1 W2'
_cell_length_a 5.1358
_cell_length_b 5.1358
_cell_length_c 5.1358
_cell_angle_alpha 145.42
_cell_angle_beta 128.55
_cell_angle_gamma 63.48
_symmetry_space_group_name_H-M 'P 1'
_symmetry_Int_Tables_number 1
_symmetry_space_group_name_Hall 'P 1'
loop_
_atom_site_label
_atom_site_type_symbol
_atom_site_fract_x
_atom_site_fract_y
_atom_site_fract_z
W1 W 0.2415 0.7415 0.5000
W2 W 0.9971 0.9971 0.0000
Os1 Os 0.7555 0.2555 0.5000
Li1 Li 0.5059 0.5059 0.0000

***

6.
# LiOs2W (PBE-GGA, optimized geometry)
# E_form: 0.378 eV per atom
data_LiOs2W
_chemical_formula_sum 'Li1 Os2 W1'
_cell_length_a 2.7403
_cell_length_b 2.7403
_cell_length_c 7.6666
_cell_angle_alpha 90.00
_cell_angle_beta 90.00
_cell_angle_gamma 90.00
_symmetry_space_group_name_H-M 'P 1'
_symmetry_Int_Tables_number 1
_symmetry_space_group_name_Hall 'P 1'
loop_
_atom_site_label
_atom_site_type_symbol
_atom_site_fract_x
_atom_site_fract_y
_atom_site_fract_z
Li1 Li 0.5000 0.5000 0.7658
W1 W 0.0000 0.0000 0.5069
Os1 Os 0.0000 0.0000 0.9995
Os2 Os 0.5000 0.5000 0.2279

***

7.
# LiOsW2 (PBE-GGA, optimized geometry)
# E_form: 0.914 eV per atom
data_LiOsW2
_chemical_formula_sum 'Li2 Os2 W4'
_cell_length_a 7.2785
_cell_length_b 7.2785
_cell_length_c 5.7628
_cell_angle_alpha 50.84
_cell_angle_beta 50.84
_cell_angle_gamma 90.00
_symmetry_space_group_name_H-M 'P 1'
_symmetry_Int_Tables_number 1
_symmetry_space_group_name_Hall 'P 1'
loop_
_atom_site_label
_atom_site_type_symbol
_atom_site_fract_x
_atom_site_fract_y
_atom_site_fract_z
Os1 Os 0.0000 0.0000 0.0000
Os2 Os 0.7500 0.2500 0.5000
W1 W 0.3750 0.3367 0.7500
W2 W 0.0867 0.6250 0.2500
W3 W 0.6633 0.1250 0.2500
W4 W 0.8750 0.9133 0.7500
Li1 Li 0.2500 0.7500 0.5000
Li2 Li 0.5000 0.5000 0.0000

***

8.
# LiOs2W (PBE-GGA, optimized geometry)
# E_form: 0.849 eV per atom
data_LiOs2W
_chemical_formula_sum 'Li2 Os4 W2'
_cell_length_a 7.0705
_cell_length_b 7.0705
_cell_length_c 5.6496
_cell_angle_alpha 51.26
_cell_angle_beta 51.26
_cell_angle_gamma 90.00
_symmetry_space_group_name_H-M 'P 1'
_symmetry_Int_Tables_number 1
_symmetry_space_group_name_Hall 'P 1'
loop_
_atom_site_label
_atom_site_type_symbol
_atom_site_fract_x
_atom_site_fract_y
_atom_site_fract_z
Os1 Os 0.8750 0.9026 0.7500
Os2 Os 0.3750 0.3474 0.7500
Os3 Os 0.6526 0.1250 0.2500
Os4 Os 0.0974 0.6250 0.2500
Li1 Li 0.2500 0.7500 0.5000
Li2 Li 0.5000 0.5000 0.0000
W1 W 0.0000 0.0000 0.0000
W2 W 0.7500 0.2500 0.5000

***

Q: Which of these has the highest E_form?
A: LiOsW3